1.
Computed, not measured: a relaxed structure of ScCuSi at the PBE level of DFT.

Cell lengths 3.754, 5.166, 5.266 Å; angles 90.03, 90.09, 111.27 degrees
Space group P1 (No. 1)
Inequivalent atoms, fractional coordinates:
Sc1 0.000 0.000 0.000 x1
Sc2 0.396 0.790 0.474 x1
Cu1 0.296 0.591 0.974 x1
Cu2 0.691 0.382 0.730 x1
Si1 0.102 0.204 0.505 x1
Si2 0.706 0.411 0.228 x1


2.
Computed, not measured: a relaxed structure of ScCuSi at the PBE level of DFT.

Cell lengths 3.011, 3.011, 10.292 Å; angles 90.00, 90.00, 90.00 degrees
Space group I4mm (No. 107)
Inequivalent atoms, fractional coordinates:
Sc1 0.000 0.000 0.000 x2
Cu1 0.000 0.000 0.311 x2
Si1 0.000 0.000 0.686 x2


3.
Computed, not measured: a relaxed structure of ScCu6Si4 at the PBE level of DFT.

Cell lengths 6.7601, 6.7601, 3.8292 Å; angles 90.00, 90.00, 120.00 degrees
Space group P-6m2 (No. 187)
Inequivalent atoms, fractional coordinates:
Sc1 0.0000 0.0000 0.0000 x1
Cu1 0.2044 0.4087 0.5000 x3
Cu2 0.5374 0.0748 0.0000 x3
Si1 0.3333 0.6667 0.0000 x1
Si2 0.3885 0.1942 0.5000 x3


4.
Computed, not measured: a relaxed structure of ScCuSi2 at the PBE level of DFT.

Cell lengths 7.311, 3.735, 5.026 Å; angles 90.00, 111.55, 90.00 degrees
Space group C2/m (No. 12)
Inequivalent atoms, fractional coordinates:
Sc1 0.000 0.000 0.000 x2
Cu1 0.000 0.500 0.500 x2
Si1 0.231 0.000 0.657 x4


5.
Computed, not measured: a relaxed structure of ScCuSi at the PBE level of DFT.

Cell lengths 10.544, 3.831, 4.979 Å; angles 90.00, 103.25, 90.00 degrees
Space group C2/m (No. 12)
Inequivalent atoms, fractional coordinates:
Sc1 0.111 0.000 0.303 x4
Cu1 0.077 0.500 0.793 x4
Si1 0.216 0.000 0.841 x4


6.
Computed, not measured: a relaxed structure of ScCuSi2 at the PBE level of DFT.

Cell lengths 2.8861, 2.8861, 25.8743 Å; angles 90.00, 90.00, 120.00 degrees
Space group R-3m (No. 166, hexagonal axes)
Inequivalent atoms, fractional coordinates:
Sc1 0.0000 0.0000 0.0000 x3
Cu1 0.0000 0.0000 0.5000 x3
Si1 0.0000 0.0000 0.2421 x6


Number 1: VASP energy -34.44 eV/cell, formation energy without anion corrections -0.457 eV/atom. Number 2: VASP energy -33.23 eV/cell, formation energy without anion corrections -0.255 eV/atom. Number 3: VASP energy -54.31 eV/cell, formation energy without anion corrections -0.156 eV/atom. Number 4: VASP energy -45.35 eV/cell, formation energy without anion corrections -0.350 eV/atom. Number 5: VASP energy -68.56 eV/cell, formation energy without anion corrections -0.430 eV/atom. Number 6: VASP energy -63.20 eV/cell, formation energy without anion corrections 0.052 eV/atom.